## P
{
  "formula": "Na3SbW",
  "functional": "PBE-GGA",
  "state": "optimized geometry",
  "dos_at_fermi_per_ev_fu": 4.2,
  "space_group": "Pm-3m",
  "m_tot_mub_per_cell": 5.94,
  "cell": [[-5.107, -2.106, -1.863], [-1.373, -1.502, 5.463], [-2.453, 5.225, 0.819]],
  "species": ["Na", "Na", "Na", "Sb", "W"],
  "fractional_positions": [[0.000, 0.500, 0.000], [0.000, 0.000, 0.500], [0.500, 0.000, 0.000], [0.000, 0.000, 0.000], [0.500, 0.500, 0.500]]
}



## Q
{
  "formula": "Na3SbW",
  "functional": "PBE-GGA",
  "state": "optimized geometry",
  "dos_at_fermi_per_ev_fu": 2.2,
  "space_group": "Pm-3m",
  "m_tot_mub_per_cell": 4.00,
  "cell": [[-3.888, 3.486, 2.430], [-2.631, -4.561, 2.333], [3.337, 0.464, 4.671]],
  "species": ["Na", "Na", "Na", "W", "Sb"],
  "fractional_positions": [[0.000, 0.000, 0.500], [0.000, 0.500, 0.000], [0.500, 0.000, 0.000], [0.000, 0.000, 0.000], [0.500, 0.500, 0.500]]
}



What should be chosen as the least stable of them? Choose Q.



## P
{
  "formula": "NaSb2W",
  "functional": "PBE-GGA",
  "state": "optimized geometry",
  "dos_at_fermi_per_ev_fu": 2.2,
  "space_group": "Fm-3m",
  "m_tot_mub_per_cell": 1.64,
  "cell": [[0.465, -3.939, -2.933], [0.981, -4.424, 1.948], [-3.465, -3.511, 0.017]],
  "species": ["Na", "Sb", "Sb", "W"],
  "fractional_positions": [[0.000, 0.000, 0.000], [0.750, 0.750, 0.750], [0.250, 0.250, 0.250], [0.500, 0.500, 0.500]]
}



## Q
{
  "formula": "NaSb2W",
  "functional": "PBE-GGA",
  "state": "optimized geometry",
  "dos_at_fermi_per_ev_fu": 3.3,
  "space_group": "I-42d",
  "m_tot_mub_per_cell": 2.00,
  "cell": [[6.981, 0.000, 0.000], [0.000, 6.981, 0.000], [3.490, 3.490, 6.067]],
  "species": ["Sb", "Sb", "Sb", "Sb", "Na", "Na", "W", "W"],
  "fractional_positions": [[0.049, 0.625, 0.250], [0.875, 0.951, 0.750], [0.375, 0.299, 0.750], [0.701, 0.125, 0.250], [0.500, 0.500, 0.000], [0.250, 0.750, 0.500], [0.000, 0.000, 0.000], [0.750, 0.250, 0.500]]
}



What should be chosen as the least stable of them? Choose Q.



## P
{
  "formula": "NaYSb2",
  "functional": "PBE-GGA",
  "state": "optimized geometry",
  "dos_at_fermi_per_ev_fu": 1.2,
  "space_group": "R3m",
  "m_tot_mub_per_cell": 0.00,
  "cell": [[-3.499, -0.587, 3.195], [0.469, -3.227, 3.488], [1.589, 3.039, 5.866]],
  "species": ["Sb", "Sb", "Na", "Y"],
  "fractional_positions": [[0.251, 0.251, 0.248], [0.087, 0.087, 0.739], [0.491, 0.491, 0.528], [0.672, 0.672, 0.985]]
}



## Q
{
  "formula": "NaYSb2",
  "functional": "PBE-GGA",
  "state": "optimized geometry",
  "dos_at_fermi_per_ev_fu": 4.3,
  "space_group": "Fm-3m",
  "m_tot_mub_per_cell": 0.00,
  "cell": [[1.828, -3.961, 3.133], [2.390, 1.155, 4.669], [-2.475, -1.119, 4.633]],
  "species": ["Sb", "Sb", "Y", "Na"],
  "fractional_positions": [[0.250, 0.250, 0.250], [0.750, 0.750, 0.750], [0.500, 0.500, 0.500], [0.000, 0.000, 0.000]]
}



## R
{
  "formula": "NaYSb2",
  "functional": "PBE-GGA",
  "state": "optimized geometry",
  "dos_at_fermi_per_ev_fu": 1.9,
  "space_group": "P4/mmm",
  "m_tot_mub_per_cell": 0.00,
  "cell": [[4.254, 0.000, 0.000], [0.000, 4.997, 0.000], [0.000, 0.000, 4.997]],
  "species": ["Sb", "Sb", "Y", "Na"],
  "fractional_positions": [[0.000, 0.500, 0.000], [0.000, 0.000, 0.500], [0.500, 0.500, 0.500], [0.500, 0.000, 0.000]]
}



## S
{
  "formula": "NaYSb2",
  "functional": "PBE-GGA",
  "state": "optimized geometry",
  "dos_at_fermi_per_ev_fu": 0.2,
  "space_group": "I-42d",
  "m_tot_mub_per_cell": 0.00,
  "cell": [[-7.908, 2.006, -1.608], [-1.119, -7.369, -3.688], [-5.437, -3.994, 0.256]],
  "species": ["Y", "Y", "Sb", "Sb", "Sb", "Sb", "Na", "Na"],
  "fractional_positions": [[0.750, 0.250, 0.500], [0.000, 0.000, 0.000], [0.130, 0.625, 0.250], [0.875, 0.870, 0.750], [0.375, 0.380, 0.750], [0.620, 0.125, 0.250], [0.500, 0.500, 0.000], [0.250, 0.750, 0.500]]
}



What should be chosen as the least stable of them? Choose S.



## P
{
  "formula": "NaY2Sb2",
  "functional": "PBE-GGA",
  "state": "optimized geometry",
  "dos_at_fermi_per_ev_fu": 1.7,
  "space_group": "P4/mbm",
  "m_tot_mub_per_cell": 1.59,
  "cell": [[-1.642, 7.709, 2.857], [1.953, -2.464, 7.771], [3.877, 1.062, -0.638]],
  "species": ["Y", "Y", "Y", "Y", "Sb", "Sb", "Sb", "Sb", "Na", "Na"],
  "fractional_positions": [[0.149, 0.649, 0.500], [0.851, 0.351, 0.500], [0.351, 0.149, 0.500], [0.649, 0.851, 0.500], [0.346, 0.846, 0.000], [0.154, 0.346, 0.000], [0.846, 0.654, 0.000], [0.654, 0.154, 0.000], [0.500, 0.500, 0.000], [0.000, 0.000, 0.000]]
}



## Q
{
  "formula": "NaY2Sb2",
  "functional": "PBE-GGA",
  "state": "optimized geometry",
  "dos_at_fermi_per_ev_fu": 5.2,
  "space_group": "I4/mmm",
  "m_tot_mub_per_cell": 0.00,
  "cell": [[4.626, 0.000, 0.000], [0.000, 4.626, 0.000], [2.313, 2.313, 7.822]],
  "species": ["Sb", "Sb", "Y", "Y", "Na"],
  "fractional_positions": [[0.250, 0.750, 0.500], [0.750, 0.250, 0.500], [0.384, 0.384, 0.232], [0.616, 0.616, 0.768], [0.000, 0.000, 0.000]]
}



## R
{
  "formula": "NaY2Sb2",
  "functional": "PBE-GGA",
  "state": "optimized geometry",
  "dos_at_fermi_per_ev_fu": 4.2,
  "space_group": "I4/mmm",
  "m_tot_mub_per_cell": 0.00,
  "cell": [[5.175, 0.000, 0.000], [0.000, 5.175, 0.000], [2.587, 2.587, 6.690]],
  "species": ["Na", "Sb", "Sb", "Y", "Y"],
  "fractional_positions": [[0.000, 0.000, 0.000], [0.630, 0.630, 0.741], [0.370, 0.370, 0.259], [0.750, 0.250, 0.500], [0.250, 0.750, 0.500]]
}



## S
{
  "formula": "NaY2Sb2",
  "functional": "PBE-GGA",
  "state": "optimized geometry",
  "dos_at_fermi_per_ev_fu": 4.2,
  "space_group": "P4/mbm",
  "m_tot_mub_per_cell": 1.38,
  "cell": [[8.637, 0.000, 0.000], [0.000, 8.637, 0.000], [0.000, 0.000, 3.869]],
  "species": ["Sb", "Sb", "Sb", "Sb", "Na", "Na", "Y", "Y", "Y", "Y"],
  "fractional_positions": [[0.338, 0.162, 0.500], [0.838, 0.338, 0.500], [0.162, 0.662, 0.500], [0.662, 0.838, 0.500], [0.000, 0.000, 0.000], [0.500, 0.500, 0.000], [0.362, 0.862, 0.000], [0.862, 0.638, 0.000], [0.638, 0.138, 0.000], [0.138, 0.362, 0.000]]
}



What should be chosen as the least stable of them? Choose Q.



## P
{
  "formula": "NaY3Sb",
  "functional": "PBE-GGA",
  "state": "optimized geometry",
  "dos_at_fermi_per_ev_fu": 8.0,
  "space_group": "Pm-3m",
  "m_tot_mub_per_cell": 2.34,
  "cell": [[-2.932, 4.701, -1.763], [-4.992, -2.947, 0.445], [-0.534, 1.738, 5.522]],
  "species": ["Y", "Y", "Y", "Sb", "Na"],
  "fractional_positions": [[0.500, 0.000, 0.000], [0.000, 0.000, 0.500], [0.000, 0.500, 0.000], [0.000, 0.000, 0.000], [0.500, 0.500, 0.500]]
}



## Q
{
  "formula": "NaY3Sb",
  "functional": "PBE-GGA",
  "state": "optimized geometry",
  "dos_at_fermi_per_ev_fu": 5.1,
  "space_group": "Pm-3m",
  "m_tot_mub_per_cell": 0.85,
  "cell": [[5.419, 0.000, 0.000], [0.000, 5.419, 0.000], [0.000, 0.000, 5.419]],
  "species": ["Na", "Sb", "Y", "Y", "Y"],
  "fractional_positions": [[0.000, 0.000, 0.000], [0.500, 0.500, 0.500], [0.500, 0.000, 0.000], [0.000, 0.500, 0.000], [0.000, 0.000, 0.500]]
}



What should be chosen as the least stable of them? Choose Q.



## P
{
  "formula": "Na3YSb",
  "functional": "PBE-GGA",
  "state": "optimized geometry",
  "dos_at_fermi_per_ev_fu": 3.7,
  "space_group": "Pm-3m",
  "m_tot_mub_per_cell": 1.06,
  "cell": [[-4.609, -3.422, -1.867], [3.491, -4.910, 0.380], [-1.734, -0.789, 5.728]],
  "species": ["Na", "Na", "Na", "Y", "Sb"],
  "fractional_positions": [[0.000, 0.000, 0.500], [0.500, 0.000, 0.000], [0.000, 0.500, 0.000], [0.000, 0.000, 0.000], [0.500, 0.500, 0.500]]
}



## Q
{
  "formula": "Na3YSb",
  "functional": "PBE-GGA",
  "state": "optimized geometry",
  "dos_at_fermi_per_ev_fu": 2.4,
  "space_group": "Pm-3m",
  "m_tot_mub_per_cell": 1.00,
  "cell": [[5.809, 0.000, 0.000], [0.000, 5.809, 0.000], [0.000, 0.000, 5.809]],
  "species": ["Na", "Na", "Na", "Y", "Sb"],
  "fractional_positions": [[0.000, 0.500, 0.000], [0.000, 0.000, 0.500], [0.500, 0.000, 0.000], [0.500, 0.500, 0.500], [0.000, 0.000, 0.000]]
}



What should be chosen as the least stable of them? Choose P.



## P
{
  "formula": "Na2ZnSb",
  "functional": "PBE-GGA",
  "state": "optimized geometry",
  "dos_at_fermi_per_ev_fu": 1.7,
  "space_group": "P4/mmm",
  "m_tot_mub_per_cell": 0.00,
  "cell": [[4.829, 0.000, 0.000], [0.000, 4.428, 0.000], [0.000, 0.000, 4.428]],
  "species": ["Sb", "Na", "Na", "Zn"],
  "fractional_positions": [[0.500, 0.000, 0.000], [0.000, 0.500, 0.000], [0.000, 0.000, 0.500], [0.500, 0.500, 0.500]]
}



## Q
{
  "formula": "Na2ZnSb",
  "functional": "PBE-GGA",
  "state": "optimized geometry",
  "dos_at_fermi_per_ev_fu": 2.1,
  "space_group": "I-42d",
  "m_tot_mub_per_cell": 0.00,
  "cell": [[4.430, 0.000, 0.000], [0.000, 4.430, 0.000], [2.215, 2.215, 10.598]],
  "species": ["Na", "Na", "Na", "Na", "Zn", "Zn", "Sb", "Sb"],
  "fractional_positions": [[0.623, 0.125, 0.250], [0.375, 0.377, 0.750], [0.875, 0.873, 0.750], [0.127, 0.625, 0.250], [0.500, 0.500, 0.000], [0.250, 0.750, 0.500], [0.750, 0.250, 0.500], [0.000, 0.000, 0.000]]
}



## R
{
  "formula": "Na2ZnSb",
  "functional": "PBE-GGA",
  "state": "optimized geometry",
  "dos_at_fermi_per_ev_fu": 1.1,
  "space_group": "C2/c",
  "m_tot_mub_per_cell": 0.00,
  "cell": [[5.577, 0.000, 0.000], [0.000, 10.111, 0.155], [-2.789, -2.447, 4.586]],
  "species": ["Zn", "Zn", "Na", "Na", "Na", "Na", "Sb", "Sb"],
  "fractional_positions": [[0.321, 0.750, 0.000], [0.679, 0.250, 0.000], [0.248, 0.597, 0.366], [0.882, 0.903, 0.634], [0.752, 0.403, 0.634], [0.118, 0.097, 0.366], [0.179, 0.250, 0.000], [0.821, 0.750, 0.000]]
}



## S
{
  "formula": "Na2ZnSb",
  "functional": "PBE-GGA",
  "state": "optimized geometry",
  "dos_at_fermi_per_ev_fu": 2.0,
  "space_group": "Fm-3m",
  "m_tot_mub_per_cell": 0.00,
  "cell": [[1.926, -4.654, -1.204], [-0.432, -3.927, 3.349], [-3.201, -3.940, -1.028]],
  "species": ["Na", "Na", "Zn", "Sb"],
  "fractional_positions": [[0.250, 0.250, 0.250], [0.750, 0.750, 0.750], [0.000, 0.000, 0.000], [0.500, 0.500, 0.500]]
}



What should be chosen as the least stable of them? Choose Q.



## P
{
  "formula": "Na2ZnSb2",
  "functional": "PBE-GGA",
  "state": "optimized geometry",
  "dos_at_fermi_per_ev_fu": 3.2,
  "space_group": "P4/mmm",
  "m_tot_mub_per_cell": 0.00,
  "cell": [[-2.982, -1.266, 0.146], [1.275, -2.965, 0.326], [0.028, 1.619, 14.598]],
  "species": ["Zn", "Na", "Na", "Sb", "Sb"],
  "fractional_positions": [[0.000, 0.000, 0.000], [0.000, 0.000, 0.611], [0.000, 0.000, 0.389], [0.000, 0.000, 0.178], [0.000, 0.000, 0.822]]
}



## Q
{
  "formula": "Na2ZnSb2",
  "functional": "PBE-GGA",
  "state": "optimized geometry",
  "dos_at_fermi_per_ev_fu": 0.7,
  "space_group": "P4/mbm",
  "m_tot_mub_per_cell": 0.00,
  "cell": [[-1.583, -5.802, 4.183], [0.855, -4.407, -5.789], [4.951, -0.532, 1.136]],
  "species": ["Sb", "Sb", "Sb", "Sb", "Na", "Na", "Na", "Na", "Zn", "Zn"],
  "fractional_positions": [[0.145, 0.355, 0.000], [0.855, 0.645, 0.000], [0.645, 0.145, 0.000], [0.355, 0.855, 0.000], [0.165, 0.665, 0.500], [0.665, 0.835, 0.500], [0.835, 0.335, 0.500], [0.335, 0.165, 0.500], [0.000, 0.000, 0.000], [0.500, 0.500, 0.000]]
}



What should be chosen as the least stable of them? Choose P.



## P
{
  "formula": "Na2ZnSb2",
  "functional": "PBE-GGA",
  "state": "optimized geometry",
  "dos_at_fermi_per_ev_fu": 3.5,
  "space_group": "I4/mmm",
  "m_tot_mub_per_cell": 0.00,
  "cell": [[-1.934, 4.225, -0.936], [-4.030, -1.385, 2.074], [-0.769, 3.728, 6.412]],
  "species": ["Sb", "Sb", "Zn", "Na", "Na"],
  "fractional_positions": [[0.601, 0.601, 0.798], [0.399, 0.399, 0.202], [0.000, 0.000, 0.000], [0.250, 0.750, 0.500], [0.750, 0.250, 0.500]]
}



## Q
{
  "formula": "Na2ZnSb2",
  "functional": "PBE-GGA",
  "state": "optimized geometry",
  "dos_at_fermi_per_ev_fu": 2.4,
  "space_group": "P4/mbm",
  "m_tot_mub_per_cell": 0.00,
  "cell": [[-5.966, -0.574, -7.309], [7.212, -2.150, -5.718], [-0.428, -2.992, 0.585]],
  "species": ["Sb", "Sb", "Sb", "Sb", "Na", "Na", "Na", "Na", "Zn", "Zn"],
  "fractional_positions": [[0.825, 0.325, 0.500], [0.675, 0.825, 0.500], [0.175, 0.675, 0.500], [0.325, 0.175, 0.500], [0.876, 0.624, 0.000], [0.624, 0.124, 0.000], [0.124, 0.376, 0.000], [0.376, 0.876, 0.000], [0.500, 0.500, 0.000], [0.000, 0.000, 0.000]]
}



## R
{
  "formula": "Na2ZnSb2",
  "functional": "PBE-GGA",
  "state": "optimized geometry",
  "dos_at_fermi_per_ev_fu": 0.8,
  "space_group": "C2/m",
  "m_tot_mub_per_cell": 0.00,
  "cell": [[-3.115, -1.398, -3.512], [2.642, -0.421, -5.590], [0.423, -10.008, 0.192]],
  "species": ["Zn", "Zn", "Na", "Na", "Na", "Na", "Sb", "Sb", "Sb", "Sb"],
  "fractional_positions": [[0.364, 0.921, 0.351], [0.636, 0.079, 0.649], [0.674, 0.338, 0.314], [0.919, 0.259, 0.902], [0.081, 0.741, 0.098], [0.326, 0.662, 0.686], [0.087, 0.266, 0.560], [0.913, 0.734, 0.440], [0.640, 0.839, 0.881], [0.360, 0.161, 0.119]]
}



What should be chosen as the least stable of them? Choose P.



## P
{
  "formula": "NaZn4Sb3",
  "functional": "PBE-GGA",
  "state": "optimized geometry",
  "dos_at_fermi_per_ev_fu": 2.6,
  "space_group": "P4/mmm",
  "m_tot_mub_per_cell": 0.00,
  "cell": [[4.336, 0.000, 0.000], [0.000, 4.336, 0.000], [0.000, 0.000, 10.852]],
  "species": ["Zn", "Zn", "Zn", "Zn", "Na", "Sb", "Sb", "Sb"],
  "fractional_positions": [[0.000, 0.500, 0.168], [0.000, 0.500, 0.832], [0.500, 0.000, 0.832], [0.500, 0.000, 0.168], [0.000, 0.000, 0.500], [0.000, 0.000, 0.000], [0.500, 0.500, 0.680], [0.500, 0.500, 0.320]]
}



## Q
{
  "formula": "NaZn4Sb3",
  "functional": "PBE-GGA",
  "state": "optimized geometry",
  "dos_at_fermi_per_ev_fu": 2.0,
  "space_group": "R-3m",
  "m_tot_mub_per_cell": 0.00,
  "cell": [[4.403, 0.000, 0.803], [2.128, 3.854, 0.803], [0.088, 0.052, 11.982]],
  "species": ["Na", "Zn", "Zn", "Zn", "Zn", "Sb", "Sb", "Sb"],
  "fractional_positions": [[0.500, 0.500, 0.500], [0.699, 0.699, 0.903], [0.087, 0.087, 0.739], [0.913, 0.913, 0.261], [0.301, 0.301, 0.097], [0.000, 0.000, 0.000], [0.225, 0.225, 0.325], [0.775, 0.775, 0.675]]
}



What should be chosen as the least stable of them? Choose P.